{"formula": "Li3Dy2PdO6", "functional": "PBE", "state": "optimized geometry", "formation_energy_uncorrected_ev_per_fu": -26.21, "sg": "C2/m", "lattice": [[2.798, -4.940, 0.000], [2.798, 4.940, 0.000], [-1.640, 0.000, 5.074]], "species": ["Li", "Li", "Li", "Dy", "Dy", "Pd", "O", "O", "O", "O", "O", "O"], "fractional_positions": [[0.000, 0.000, 0.000], [0.360, 0.640, 0.000], [0.640, 0.360, 0.000], [0.170, 0.830, 0.500], [0.830, 0.170, 0.500], [0.500, 0.500, 0.500], [0.097, 0.423, 0.250], [0.260, 0.260, 0.733], [0.423, 0.097, 0.250], [0.577, 0.903, 0.750], [0.740, 0.740, 0.267], [0.903, 0.577, 0.750]]}

=====

{"formula": "Li15MgHg4", "functional": "PBE", "state": "optimized geometry", "ef_ev_per_atom": -0.2215, "sg": "P4/mmm", "lattice": [[4.325, 0.000, 0.000], [0.000, 4.325, 0.000], [0.000, 0.000, 19.366]], "species": ["Li", "Li", "Li", "Li", "Li", "Li", "Li", "Li", "Li", "Li", "Li", "Li", "Li", "Li", "Li", "Mg", "Hg", "Hg", "Hg", "Hg"], "fractional_positions": [[0.000, 0.000, 0.000], [0.000, 0.000, 0.206], [0.000, 0.000, 0.401], [0.000, 0.000, 0.599], [0.000, 0.000, 0.794], [0.000, 0.500, 0.109], [0.000, 0.500, 0.303], [0.000, 0.500, 0.500], [0.000, 0.500, 0.697], [0.000, 0.500, 0.891], [0.500, 0.000, 0.109], [0.500, 0.000, 0.303], [0.500, 0.000, 0.500], [0.500, 0.000, 0.697], [0.500, 0.000, 0.891], [0.500, 0.500, 0.000], [0.500, 0.500, 0.203], [0.500, 0.500, 0.401], [0.500, 0.500, 0.599], [0.500, 0.500, 0.797]]}

=====

{"formula": "CoReSe2", "functional": "PBE", "state": "optimized geometry", "polymorph_energy_kj_per_mol_atoms": 50.6, "formation_energy_uncorrected_ev_per_fu": 1.75, "sg": "Fm-3m", "lattice": [[0.000, 3.096, 3.096], [3.096, 0.000, 3.096], [3.096, 3.096, 0.000]], "species": ["Co", "Re", "Se", "Se"], "fractional_positions": [[0.000, 0.000, 0.000], [0.500, 0.500, 0.500], [0.250, 0.250, 0.250], [0.750, 0.750, 0.750]]}

=====

{"formula": "PrEr2Rh", "functional": "PBE", "state": "optimized geometry", "polymorph_energy_kj_per_mol_atoms": 2.4, "ef_ev_per_atom": -0.4790, "sg": "Cmcm", "lattice": [[1.894, -6.127, 0.000], [1.894, 6.127, 0.000], [0.000, 0.000, 9.388]], "species": ["Pr", "Pr", "Er", "Er", "Er", "Er", "Rh", "Rh"], "fractional_positions": [[0.071, 0.929, 0.750], [0.929, 0.071, 0.250], [0.359, 0.641, 0.568], [0.359, 0.641, 0.932], [0.641, 0.359, 0.068], [0.641, 0.359, 0.432], [0.241, 0.759, 0.250], [0.759, 0.241, 0.750]]}

=====

{"formula": "Cs4BSe4", "functional": "PBE", "state": "optimized geometry", "polymorph_energy_kj_per_mol_atoms": 0.0, "formation_energy_uncorrected_ev_per_fu": -7.28, "sg": "P4_2/nmc", "lattice": [[9.830, 0.000, 0.000], [0.000, 9.830, 0.000], [0.000, 0.000, 7.335]], "species": ["Cs", "Cs", "Cs", "Cs", "Cs", "Cs", "Cs", "Cs", "B", "B", "Se", "Se", "Se", "Se", "Se", "Se", "Se", "Se"], "fractional_positions": [[0.025, 0.250, 0.095], [0.250, 0.025, 0.595], [0.250, 0.475, 0.595], [0.475, 0.250, 0.095], [0.525, 0.750, 0.905], [0.750, 0.525, 0.405], [0.750, 0.975, 0.405], [0.975, 0.750, 0.905], [0.250, 0.750, 0.250], [0.750, 0.250, 0.750], [0.067, 0.750, 0.400], [0.250, 0.567, 0.100], [0.250, 0.933, 0.100], [0.433, 0.750, 0.400], [0.567, 0.250, 0.600], [0.750, 0.067, 0.900], [0.750, 0.433, 0.900], [0.933, 0.250, 0.600]]}

=====

{"formula": "CaNdRh", "functional": "PBE", "state": "optimized geometry", "polymorph_energy_kj_per_mol_atoms": 0.5, "ef_ev_per_atom": -0.4418, "sg": "Cmcm", "lattice": [[2.005, -6.323, 0.000], [2.005, 6.323, 0.000], [0.000, 0.000, 6.441]], "species": ["Ca", "Ca", "Nd", "Nd", "Rh", "Rh"], "fractional_positions": [[0.000, 0.000, 0.000], [0.000, 0.000, 0.500], [0.278, 0.722, 0.750], [0.722, 0.278, 0.250], [0.370, 0.630, 0.250], [0.630, 0.370, 0.750]]}

=====

{"formula": "PrNpGe2", "functional": "PBE", "state": "optimized geometry", "polymorph_energy_kj_per_mol_atoms": 0.0, "ef_ev_per_atom": -0.3468, "sg": "P4/mmm", "lattice": [[3.346, 0.000, 0.000], [0.000, 3.346, 0.000], [0.000, 0.000, 8.289]], "species": ["Pr", "Np", "Ge", "Ge"], "fractional_positions": [[0.000, 0.000, 0.000], [0.000, 0.000, 0.500], [0.500, 0.500, 0.261], [0.500, 0.500, 0.739]]}

=====

{"formula": "SrNi2Hg", "functional": "PBE", "state": "optimized geometry", "ef_ev_per_atom": 0.3401, "sg": "F-43m", "lattice": [[0.000, 3.428, 3.428], [3.428, 0.000, 3.428], [3.428, 3.428, 0.000]], "species": ["Sr", "Ni", "Ni", "Hg"], "fractional_positions": [[0.000, 0.000, 0.000], [0.250, 0.250, 0.250], [0.500, 0.500, 0.500], [0.750, 0.750, 0.750]]}

=====

What did the seventh record say?
{"formula": "PrNpGe2", "functional": "PBE", "state": "optimized geometry", "polymorph_energy_kj_per_mol_atoms": 0.0, "ef_ev_per_atom": -0.3468, "sg": "P4/mmm", "lattice": [[3.346, 0.000, 0.000], [0.000, 3.346, 0.000], [0.000, 0.000, 8.289]], "species": ["Pr", "Np", "Ge", "Ge"], "fractional_positions": [[0.000, 0.000, 0.000], [0.000, 0.000, 0.500], [0.500, 0.500, 0.261], [0.500, 0.500, 0.739]]}

=====

> What is the formula in the fifth record?

Cs4BSe4